First-principles (SCAN) data for a crystal of Re2TcTe relaxed with PBEsol, as listed in the Alexandria database.

Results
* total moment: 0.002 μB/cell
* N(E_F): 1.44 states/eV/atom
* density: 15.5 g/cm³
* E: -3.8749 Ry/atom

```
data_Re2TcTe
_chemical_formula_sum 'Re2 Tc1 Te1'
_cell_length_a 3.761
_cell_length_b 3.761
_cell_length_c 4.521
_cell_angle_alpha 90.00
_cell_angle_beta 90.00
_cell_angle_gamma 90.00
_space_group_name_H-M_alt 'P 4/m m m'
_space_group_IT_number 123
_space_group_name_Hall '-P 4 2'
loop_
_atom_site_label
_atom_site_type_symbol
_atom_site_fract_x
_atom_site_fract_y
_atom_site_fract_z
_atom_site_occupancy
Re1 Re 0.000 0.500 0.000 1
Tc1 Tc 0.000 0.000 0.500 1
Te1 Te 0.500 0.500 0.500 1
```